Computed, not measured: a relaxed Tb5ErIn6 crystal at the PBE level of DFT.

Lattice parameters (Å, degrees): 8.4371 8.4371 7.5068 90.00 90.00 143.15
Atoms (fractional coordinates):
Tb  0.0000  0.0000  0.0000
Tb  0.3325  0.6675  0.0000
Tb  0.3336  0.6664  0.5000
Tb  0.6664  0.3336  0.5000
Tb  0.6675  0.3325  0.0000
Er  0.0000  0.0000  0.5000
In  0.1658  0.8342  0.2516
In  0.1658  0.8342  0.7484
In  0.5000  0.5000  0.2512
In  0.5000  0.5000  0.7488
In  0.8342  0.1658  0.2516
In  0.8342  0.1658  0.7484

## Properties
Its formation energy is -0.472 eV/atom. As for the crystal system: orthorhombic. The density comes out at 8.55 g cm⁻³. The calculation puts the uncorrected energy at -4.151 eV per atom.

***

Computed, not measured: a relaxed Tb7Er4In crystal at the PBE level of DFT.

Lattice parameters (Å, degrees): 6.7090 6.7090 12.3298 112.88 112.88 51.87
Atoms (fractional coordinates):
Tb  0.0000  0.0000  0.0000
Tb  0.1318  0.1318  0.4731
Tb  0.2981  0.2981  0.0793
Tb  0.4055  0.4055  0.7228
Tb  0.5945  0.5945  0.2772
Tb  0.7019  0.7019  0.9207
Tb  0.8682  0.8682  0.5269
Er  0.1375  0.1375  0.7691
Er  0.3557  0.3557  0.3785
Er  0.6443  0.6443  0.6215
Er  0.8625  0.8625  0.2309
In  0.5000  0.5000  0.0000

## Properties
Its formation energy is 0.192 eV/atom. As for the crystal system: monoclinic. The density comes out at 8.00 g cm⁻³. The calculation puts the uncorrected energy at -4.258 eV per atom.

***

Computed, not measured: a relaxed Tb3Er2In crystal at the PBE level of DFT.

Lattice parameters (Å, degrees): 9.2455 9.2455 6.2390 101.90 101.90 43.79
Atoms (fractional coordinates):
Tb  0.0453  0.2938  0.0252
Tb  0.1258  0.8742  0.7500
Tb  0.2938  0.0453  0.5252
Tb  0.7062  0.9547  0.4748
Tb  0.8742  0.1258  0.2500
Tb  0.9547  0.7062  0.9748
Er  0.2203  0.4591  0.4599
Er  0.4591  0.2203  0.9599
Er  0.5409  0.7797  0.0401
Er  0.7797  0.5409  0.5401
In  0.3656  0.6344  0.2500
In  0.6344  0.3656  0.7500

## Properties
Its formation energy is -0.106 eV/atom. As for the crystal system: monoclinic. The density comes out at 8.55 g cm⁻³. The calculation puts the uncorrected energy at -4.399 eV per atom.

***

Computed, not measured: a relaxed Tb3Er5In crystal at the PBE level of DFT.

Lattice parameters (Å, degrees): 8.2053 8.2053 10.1000 103.53 103.53 86.98
Atoms (fractional coordinates):
Tb  0.0000  0.0000  0.0000
Tb  0.0019  0.0019  0.3120
Tb  0.4984  0.4984  0.8274
Tb  0.5000  0.5000  0.5000
Tb  0.5016  0.5016  0.1726
Tb  0.9981  0.9981  0.6880
Er  0.0555  0.5705  0.7052
Er  0.2312  0.7688  0.5000
Er  0.2366  0.2366  0.5563
Er  0.2511  0.2511  0.9077
Er  0.4295  0.9445  0.2948
Er  0.5705  0.0555  0.7052
Er  0.7489  0.7489  0.0923
Er  0.7634  0.7634  0.4437
Er  0.7688  0.2312  0.5000
Er  0.9445  0.4295  0.2948
In  0.2629  0.2629  0.2301
In  0.7371  0.7371  0.7699

## Properties
Its formation energy is 0.380 eV/atom. As for the crystal system: monoclinic. The density comes out at 7.38 g cm⁻³. The calculation puts the uncorrected energy at -4.002 eV per atom.

***

Computed, not measured: a relaxed Tb2Er2In3 crystal at the PBE level of DFT.

Lattice parameters (Å, degrees): 4.4785 25.0442 3.4451 90.00 90.00 90.00
Atoms (fractional coordinates):
Tb  0.0000  0.0695  0.0000
Tb  0.0000  0.9305  0.0000
Tb  0.5000  0.4305  0.0000
Tb  0.5000  0.5695  0.0000
Er  0.0000  0.2005  0.0000
Er  0.0000  0.7995  0.0000
Er  0.5000  0.2995  0.0000
Er  0.5000  0.7005  0.0000
In  0.0000  0.3592  0.5000
In  0.0000  0.5000  0.5000
In  0.0000  0.6408  0.5000
In  0.5000  0.0000  0.5000
In  0.5000  0.1408  0.5000
In  0.5000  0.8592  0.5000

## Properties
Its formation energy is -0.291 eV/atom. As for the crystal system: orthorhombic. The density comes out at 8.57 g cm⁻³. The calculation puts the uncorrected energy at -4.091 eV per atom.

***

Computed, not measured: a relaxed Tb8ErIn2 crystal at the PBE level of DFT.

Lattice parameters (Å, degrees): 8.8099 8.8099 5.6681 102.92 102.92 119.73
Atoms (fractional coordinates):
Tb  0.0947  0.3239  0.6260
Tb  0.2152  0.7848  0.0000
Tb  0.3239  0.0947  0.6260
Tb  0.4056  0.4056  0.2045
Tb  0.5944  0.5944  0.7955
Tb  0.6761  0.9053  0.3740
Tb  0.7848  0.2152  0.0000
Tb  0.9053  0.6761  0.3740
Er  0.0000  0.0000  0.0000
In  0.3067  0.6933  0.5000
In  0.6933  0.3067  0.5000

## Properties
Its formation energy is -0.042 eV/atom. As for the crystal system: monoclinic. The density comes out at 8.10 g cm⁻³. The calculation puts the uncorrected energy at -4.322 eV per atom.

***

Computed, not measured: a relaxed Tb5ErIn3 crystal at the PBE level of DFT.

Lattice parameters (Å, degrees): 9.3643 9.3643 6.7359 90.00 90.00 120.00
Atoms (fractional coordinates):
Tb  0.0000  0.3338  0.2500
Tb  0.0000  0.6662  0.7500
Tb  0.3333  0.6667  0.0000
Tb  0.3333  0.6667  0.5000
Tb  0.3338  0.0000  0.2500
Tb  0.3338  0.3338  0.7500
Tb  0.6662  0.0000  0.7500
Tb  0.6662  0.6662  0.2500
Tb  0.6667  0.3333  0.0000
Tb  0.6667  0.3333  0.5000
Er  0.0000  0.0000  0.0000
Er  0.0000  0.0000  0.5000
In  0.0000  0.3314  0.7500
In  0.0000  0.6686  0.2500
In  0.3314  0.0000  0.7500
In  0.3314  0.3314  0.2500
In  0.6686  0.0000  0.2500
In  0.6686  0.6686  0.7500

## Properties
Its formation energy is -0.354 eV/atom. As for the crystal system: hexagonal. The density comes out at 8.48 g cm⁻³. The calculation puts the uncorrected energy at -4.346 eV per atom.

***

Computed, not measured: a relaxed Tb5Er4In crystal at the PBE level of DFT.

Lattice parameters (Å, degrees): 3.5392 3.5392 24.3488 90.00 90.00 90.00
Atoms (fractional coordinates):
Tb  0.0000  0.0000  0.0000
Tb  0.0000  0.0000  0.2055
Tb  0.0000  0.0000  0.4118
Tb  0.0000  0.0000  0.5882
Tb  0.0000  0.0000  0.7945
Er  0.5000  0.5000  0.1028
Er  0.5000  0.5000  0.3082
Er  0.5000  0.5000  0.6918
Er  0.5000  0.5000  0.8972
In  0.5000  0.5000  0.5000

## Properties
Its formation energy is -0.077 eV/atom. As for the crystal system: tetragonal. The density comes out at 8.59 g cm⁻³. The calculation puts the uncorrected energy at -4.491 eV per atom.

***

Computed, not measured: a relaxed TbEr3In3Te8 crystal at the PBE level of DFT.

Lattice parameters (Å, degrees): 9.3510 9.3510 9.3510 55.65 55.65 55.65
Atoms (fractional coordinates):
Tb  0.0000  0.0000  0.0000
Er  0.0000  0.5000  0.5000
Er  0.5000  0.0000  0.5000
Er  0.5000  0.5000  0.0000
In  0.0000  0.0000  0.5000
In  0.0000  0.5000  0.0000
In  0.5000  0.0000  0.0000
Te  0.2438  0.2438  0.7367
Te  0.2438  0.7367  0.2438
Te  0.2586  0.2586  0.2586
Te  0.2633  0.7562  0.7562
Te  0.7367  0.2438  0.2438
Te  0.7414  0.7414  0.7414
Te  0.7562  0.2633  0.7562
Te  0.7562  0.7562  0.2633

## Properties
As for the crystal system: trigonal. The density comes out at 6.47 g cm⁻³. The uncorrected formation energy is -96.10 kJ/mol of atoms. The calculation puts the uncorrected energy at -4.441 eV per atom.

***

Computed, not measured: a relaxed TbErIn2Te4 crystal at the PBE level of DFT.

Lattice parameters (Å, degrees): 7.6291 4.4065 8.5008 90.00 107.42 90.00
Atoms (fractional coordinates):
Tb  0.0000  0.0000  0.0000
Er  0.5000  0.5000  0.0000
In  0.0000  0.5000  0.5000
In  0.5000  0.0000  0.5000
Te  0.2424  0.5000  0.2193
Te  0.2635  0.0000  0.7824
Te  0.7365  0.0000  0.2176
Te  0.7576  0.5000  0.7807

## Properties
As for the crystal system: monoclinic. The density comes out at 6.49 g cm⁻³. The uncorrected formation energy is -93.11 kJ/mol of atoms. The calculation puts the uncorrected energy at -4.370 eV per atom.

***

Computed, not measured: a relaxed TbErThIn crystal at the PBE level of DFT.

Lattice parameters (Å, degrees): 7.7074 7.7074 7.7074 90.00 90.00 90.00
Atoms (fractional coordinates):
Tb  0.0000  0.0000  0.0000
Tb  0.0000  0.5000  0.5000
Tb  0.5000  0.0000  0.5000
Tb  0.5000  0.5000  0.0000
Er  0.0000  0.0000  0.5000
Er  0.0000  0.5000  0.0000
Er  0.5000  0.0000  0.0000
Er  0.5000  0.5000  0.5000
Th  0.2500  0.2500  0.7500
Th  0.2500  0.7500  0.2500
Th  0.7500  0.2500  0.2500
Th  0.7500  0.7500  0.7500
In  0.2500  0.2500  0.2500
In  0.2500  0.7500  0.7500
In  0.7500  0.2500  0.7500
In  0.7500  0.7500  0.2500

## Properties
Its formation energy is -0.023 eV/atom. As for the crystal system: cubic. The density comes out at 9.76 g cm⁻³. The calculation puts the uncorrected energy at -4.861 eV per atom.